No. 1
! PBE Er3TmTh7, relaxed; values from VASP
&SYSTEM
  ibrav = 0, nat = 11, ntyp = 3
/
ATOMIC_SPECIES
Er 167.26 Er.upf
Tm 168.93 Tm.upf
Th 232.04 Th.upf
CELL_PARAMETERS angstrom
-5.374 -1.269 -2.015
5.495 -6.133 -2.001
1.091 -3.074 7.821
ATOMIC_POSITIONS angstrom
Er 4.592 -5.505 0.015
Er -2.687 -0.634 -1.007
Er 1.995 -3.701 5.806
Tm 0.606 -5.238 1.903
Th 0.189 -2.231 0.779
Th -0.918 -2.296 4.034
Th -0.448 -6.389 5.520
Th 1.660 -4.086 -1.714
Th 3.293 -4.603 2.910
Th 2.130 -8.179 -0.229
Th 1.023 -8.244 3.026
! - Formation energy from the elements: 367 meV per atom
! - Spin magnetization: 0.0000 μB per atom
! - Space group: C2/m
! - V: 33.52 Å³ per atom

No. 2
! PBE Li7CdAg2, relaxed; values from VASP
&SYSTEM
  ibrav = 0, nat = 10, ntyp = 3
/
ATOMIC_SPECIES
Li 6.94 Li.upf
Cd 112.41 Cd.upf
Ag 107.87 Ag.upf
CELL_PARAMETERS angstrom
4.566 0.000 0.000
-2.283 3.954 0.000
0.000 0.000 9.994
ATOMIC_POSITIONS angstrom
Li 2.283 1.318 6.041
Li 2.283 1.318 8.479
Li 0.000 0.000 6.438
Li 0.000 0.000 2.605
Li 0.000 2.636 4.491
Li 0.000 2.636 0.553
Li 2.283 1.318 1.030
Cd 0.000 0.000 9.402
Ag 0.000 2.636 7.563
Ag 2.283 1.318 3.535
! - Formation energy from the elements: -107 meV per atom
! - Excess energy over the best structure of this formula in the dataset: 0 meV per atom
! - Spin magnetization: 0.0000 μB per atom
! - Space group: P3m1
! - V: 18.04 Å³ per atom